Below is a geometry-optimized NiIr3N structure, with properties calculated at the PBE level.

a b c (Å): 4.0406 4.0406 4.0406
angles (deg): 90.00 90.00 90.00
Last column: nearest neighbours and their distance in Å.
Element x y z (fractional)
Ni 0.0000 0.0000 0.0000  12 Ir 2.86
Ir 0.0000 0.5000 0.5000  2 N 2.02
Ir 0.5000 0.0000 0.5000  2 N 2.02
Ir 0.5000 0.5000 0.0000  2 N 2.02
N 0.5000 0.5000 0.5000  6 Ir 2.02

Computed properties:
Energy relative to the elements, uncorrected in eV/atom: 0.6938
Density of states at the Fermi level in states/eV/cell: 7.613
Raw total energy in eV per atom: -7.4441
Space-group type: Pm-3m